Compound: CsMgFe2F8
Source: the Alexandria database
Functional: PBE+U
Structure: relaxed

a b c (Å): 5.5455 5.5455 8.4082
angles (deg): 90.00 90.00 120.00
With the nearest neighbours (Å) after each atom.
Element x y z (fractional)
1 Cs 0.0000 0.0000 0.0000  12 F 3.26-3.43
2 Mg 0.0000 0.0000 0.5000  6 F 2.00
3 Fe 0.3333 0.6667 0.7040  4 F 1.87-1.91
4 Fe 0.6667 0.3333 0.2960  4 F 1.87-1.91
5 F 0.0388 0.3088 0.6400  1 Fe 1.91, 1 Mg 2.00
6 F 0.2700 0.9612 0.6400  1 Fe 1.91, 1 Mg 2.00
7 F 0.3088 0.2700 0.3600  1 Fe 1.91, 1 Mg 2.00
8 F 0.3333 0.6667 0.9270  1 Fe 1.87
9 F 0.6667 0.3333 0.0730  1 Fe 1.87
10 F 0.6912 0.7300 0.6400  1 Fe 1.91, 1 Mg 2.00
11 F 0.7300 0.0388 0.3600  1 Fe 1.91, 1 Mg 2.00
12 F 0.9612 0.6912 0.3600  1 Fe 1.91, 1 Mg 2.00

- VASP energy (eV per formula unit) = -60.521
- crystal system = trigonal
- N(E_F) (states/eV/cell) = 9.443